Record 1
A plane-wave DFT calculation with PBE-GGA was carried out for an optimized crystal structure of LiCdFeAs2.

Geometry as CIF:
```
data_LiCdFeAs2
_chemical_formula_sum 'Li1 Cd1 Fe1 As2'
_symmetry_space_group_name_H-M 'P 4/m m m'
_symmetry_Int_Tables_number 123
_symmetry_space_group_name_Hall '-P 4 2'
_cell_length_a 4.584
_cell_length_b 4.584
_cell_length_c 5.031
_cell_angle_alpha 90.00
_cell_angle_beta 90.00
_cell_angle_gamma 90.00
loop_
_atom_site_label
_atom_site_type_symbol
_atom_site_fract_x
_atom_site_fract_y
_atom_site_fract_z
_atom_site_occupancy
Li1 Li 0.000 0.000 0.000 1
Cd1 Cd 0.500 0.500 0.000 1
Fe1 Fe 0.500 0.500 0.500 1
As1 As 0.000 0.500 0.500 1
```

Results
- D(E_F) (states/eV/cell) = 2.75
- total energy (eV/atom) = -4.03
- energy of formation (eV per atom) = 0.0890

=====

Record 2
A plane-wave DFT calculation with PBE-GGA was carried out for an optimized crystal structure of MgCd2FeAs.

Geometry as CIF:
```
data_MgCd2FeAs
_chemical_formula_sum 'Mg1 Cd2 Fe1 As1'
_symmetry_space_group_name_H-M 'P 4/m m m'
_symmetry_Int_Tables_number 123
_symmetry_space_group_name_Hall '-P 4 2'
_cell_length_a 4.957
_cell_length_b 4.957
_cell_length_c 4.937
_cell_angle_alpha 90.00
_cell_angle_beta 90.00
_cell_angle_gamma 90.00
loop_
_atom_site_label
_atom_site_type_symbol
_atom_site_fract_x
_atom_site_fract_y
_atom_site_fract_z
_atom_site_occupancy
Mg1 Mg 0.000 0.000 0.000 1
Cd1 Cd 0.000 0.500 0.500 1
Fe1 Fe 0.000 0.000 0.500 1
As1 As 0.500 0.500 0.000 1
```

Results
- D(E_F) (states/eV/cell) = 3.59
- total energy (eV/atom) = -2.63
- energy of formation (eV per atom) = 0.6731

=====

Record 3
A plane-wave DFT calculation with PBE-GGA was carried out for an optimized crystal structure of MnCdFeAs2.

Geometry as CIF:
```
data_MnCdFeAs2
_chemical_formula_sum 'Mn1 Cd1 Fe1 As2'
_symmetry_space_group_name_H-M 'P 4/m m m'
_symmetry_Int_Tables_number 123
_symmetry_space_group_name_Hall '-P 4 2'
_cell_length_a 4.481
_cell_length_b 4.481
_cell_length_c 5.041
_cell_angle_alpha 90.00
_cell_angle_beta 90.00
_cell_angle_gamma 90.00
loop_
_atom_site_label
_atom_site_type_symbol
_atom_site_fract_x
_atom_site_fract_y
_atom_site_fract_z
_atom_site_occupancy
Mn1 Mn 0.000 0.000 0.000 1
Cd1 Cd 0.500 0.500 0.000 1
Fe1 Fe 0.500 0.500 0.500 1
As1 As 0.000 0.500 0.500 1
```

Results
- D(E_F) (states/eV/cell) = 4.32
- total energy (eV/atom) = -5.04
- energy of formation (eV per atom) = 0.5261

=====

Question: energy of formation of number 2 (MgCd2FeAs)?
Answer: 0.6731 eV per atom

=====

Question: The lowest total energy belongs to which entry?
Answer: MnCdFeAs2